No. 1
4
Lattice="2.732 0.000 0.000 0.000 4.363 0.000 0.000 0.000 4.747" Properties=species:S:1:pos:R:3 comment="ReIr3, optimized geometry, DFT GGA-PBEsol" m_tot_mub_per_cell=0.000 dos_at_fermi_per_ev_atom=0.74 sg="No. 25" formation_energy_ev_per_atom=-0.126 e_above_lowest_polymorph_ev_per_atom=0.015 pbc="T T T"
Re 0.000 0.000 0.000
Ir 0.000 2.181 3.181
Ir 1.366 0.000 2.381
Ir 1.366 2.181 0.809

---

No. 2
4
Lattice="1.884 1.088 7.182 -1.884 1.088 7.182 0.000 -2.176 7.182" Properties=species:S:1:pos:R:3 comment="As2PbAu, optimized geometry, DFT GGA-PBEsol" m_tot_mub_per_cell=0.000 dos_at_fermi_per_ev_atom=0.40 sg="No. 160" formation_energy_ev_per_atom=0.054 pbc="T T T"
As 0.000 0.000 0.000
As 0.000 0.000 5.718
Pb 0.000 0.000 10.754
Au 0.000 0.000 16.019

---

No. 3
36
Lattice="4.282 2.472 6.911 -4.282 2.472 6.911 0.000 -4.944 6.911" Properties=species:S:1:pos:R:3 comment="V3Cu2P6WO24, optimized geometry, DFT GGA-PBEsol" m_tot_mub_per_cell=4.991 raw_formation_energy_mev_per_atom=-2040 dos_at_fermi_per_ev_atom=0.40 sg="No. 146" pbc="T T T"
V 0.000 0.000 0.000
V 0.000 0.000 4.557
V 0.000 0.000 14.924
Cu 0.000 0.000 7.413
Cu 0.000 0.000 17.835
P -1.267 -2.853 9.196
P -2.509 -0.002 12.696
P -1.837 2.523 9.196
P 1.256 -2.172 12.696
P 3.104 0.329 9.196
P 1.253 2.174 12.696
W 0.000 0.000 10.362
O -0.768 -3.519 7.927
O -1.501 -0.155 5.829
O -3.369 -1.267 12.548
O -0.813 -3.553 10.467
O -2.663 2.425 7.927
O -0.652 -1.389 9.150
O 0.885 -1.222 5.829
O -2.670 2.480 10.467
O -1.598 0.006 11.414
O -0.877 1.259 9.150
O 0.616 1.378 5.829
O -1.614 0.015 13.920
O 0.794 -1.387 11.414
O -0.904 -1.202 16.193
O 1.529 0.130 9.150
O 0.794 -1.405 13.920
O 0.804 1.381 11.414
O 2.782 -2.284 12.548
O -0.588 1.384 16.193
O 3.432 1.094 7.927
O 0.819 1.390 13.920
O 0.588 3.551 12.548
O 1.493 -0.182 16.193
O 3.483 1.073 10.467

---

No. 4
18
Lattice="4.336 -3.099 0.000 4.336 3.099 0.000 -2.804 0.000 6.478" Properties=species:S:1:pos:R:3 comment="Mn3O5F, optimized geometry, DFT GGA-PBEsol" m_tot_mub_per_cell=19.973 raw_formation_energy_mev_per_atom=-1724 dos_at_fermi_per_ev_atom=0.22 sg="No. 12" e_above_lowest_polymorph_ev_per_atom=0.020 pbc="T T T"
Mn 0.000 0.000 0.000
Mn -1.402 0.000 3.239
Mn 1.852 0.000 2.094
Mn 0.471 0.000 5.477
Mn 5.397 0.000 1.001
Mn 4.016 0.000 4.384
O 1.926 1.883 2.161
O 0.018 0.000 1.900
O 1.877 0.000 0.237
O 4.336 1.202 0.000
O 3.942 1.883 4.317
O 1.926 -1.883 2.161
O 4.336 -1.202 0.000
O 3.991 0.000 6.242
O 5.850 0.000 4.578
O 3.942 -1.883 4.317
F 2.023 0.000 4.095
F 3.845 0.000 2.383

---

No. 5
7
Lattice="-1.411 1.411 9.574 1.411 -1.411 9.574 1.411 1.411 -9.574" Properties=species:S:1:pos:R:3 comment="Cr3Fe4, optimized geometry, DFT GGA-PBEsol" m_tot_mub_per_cell=7.585 dos_at_fermi_per_ev_atom=1.16 sg="No. 139" formation_energy_ev_per_atom=0.093 pbc="T T T"
Cr 0.000 0.000 0.000
Cr 0.000 0.000 5.458
Cr 0.000 0.000 13.690
Fe 0.000 0.000 2.735
Fe 0.000 0.000 8.210
Fe 0.000 0.000 10.938
Fe 0.000 0.000 16.413

---

No. 6
4
Lattice="0.000 3.920 3.920 3.920 0.000 3.920 3.920 3.920 0.000" Properties=species:S:1:pos:R:3 comment="La3Te, optimized geometry, DFT GGA-PBEsol" m_tot_mub_per_cell=0.922 raw_formation_energy_mev_per_atom=-410 dos_at_fermi_per_ev_atom=1.55 sg="No. 225" e_above_lowest_polymorph_ev_per_atom=0.370 pbc="T T T"
La 0.000 0.000 0.000
La 1.960 1.960 1.960
La 5.879 5.879 5.879
Te 3.920 3.920 3.920

---

No. 7
4
Lattice="0.000 3.203 3.203 3.203 0.000 3.203 3.203 3.203 0.000" Properties=species:S:1:pos:R:3 comment="YCu2Au, optimized geometry, DFT GGA-PBEsol" m_tot_mub_per_cell=0.000 dos_at_fermi_per_ev_atom=0.62 sg="No. 225" formation_energy_ev_per_atom=-0.324 e_above_lowest_polymorph_ev_per_atom=0.000 pbc="T T T"
Y 0.000 0.000 0.000
Cu 1.602 1.602 1.602
Cu 4.805 4.805 4.805
Au 3.203 3.203 3.203

---

No. 8
4
Lattice="1.609 -2.178 0.000 1.609 2.178 0.000 0.000 0.000 8.986" Properties=species:S:1:pos:R:3 comment="Mo2WAu, optimized geometry, DFT GGA-PBEsol" m_tot_mub_per_cell=0.000 dos_at_fermi_per_ev_atom=0.67 sg="No. 65" formation_energy_ev_per_atom=0.141 e_above_lowest_polymorph_ev_per_atom=0.000 pbc="T T T"
Mo 0.000 0.000 2.174
Mo 0.000 0.000 6.812
W 1.609 0.000 0.000
Au 1.609 0.000 4.493

---

No. 9
4
Lattice="-1.993 2.136 4.066 1.993 -2.136 4.066 1.993 2.136 -4.066" Properties=species:S:1:pos:R:3 comment="Ag2TeRu, optimized geometry, DFT GGA-PBEsol" m_tot_mub_per_cell=0.000 raw_formation_energy_mev_per_atom=389 dos_at_fermi_per_ev_atom=0.66 sg="No. 44" pbc="T T T"
Ag 0.000 0.000 0.000
Ag 0.000 2.136 1.948
Te 1.993 0.000 2.110
Ru 0.000 0.000 3.910

---

No. 10
24
Lattice="12.162 0.000 0.000 0.000 7.631 0.000 0.000 0.000 6.119" Properties=species:S:1:pos:R:3 comment="Rb3CoO2, optimized geometry, DFT GGA-PBEsol" m_tot_mub_per_cell=8.000 raw_formation_energy_mev_per_atom=-986 sg="No. 62" pbc="T T T"
Rb 1.216 1.908 1.313
Rb 1.679 0.005 4.173
Rb 1.679 3.810 4.173
Rb 4.402 3.821 1.113
Rb 4.402 7.626 1.113
Rb 4.865 5.723 4.372
Rb 7.297 1.908 1.747
Rb 7.760 0.005 5.006
Rb 7.760 3.810 5.006
Rb 10.483 3.821 1.946
Rb 10.483 7.626 1.946
Rb 10.946 5.723 4.806
Co 1.440 5.723 1.193
Co 4.641 1.908 4.253
Co 7.521 5.723 1.866
Co 10.722 1.908 4.926
O 0.342 5.723 2.526
O 2.608 5.723 6.039
O 3.473 1.908 2.979
O 5.739 1.908 5.585
O 6.422 5.723 0.534
O 8.689 5.723 3.140
O 9.554 1.908 0.080
O 11.820 1.908 3.594

---

No. 11
5
Lattice="4.953 0.000 0.000 0.000 4.953 0.000 0.000 0.000 4.953" Properties=species:S:1:pos:R:3 comment="FeSnBr3, optimized geometry, DFT GGA-PBEsol" m_tot_mub_per_cell=2.870 raw_formation_energy_mev_per_atom=-97 dos_at_fermi_per_ev_atom=1.44 sg="No. 221" pbc="T T T"
Fe 0.000 0.000 0.000
Sn 2.477 2.477 2.477
Br 0.000 0.000 2.477
Br 0.000 2.477 0.000
Br 2.477 0.000 0.000

---

No. 12
8
Lattice="6.010 0.000 0.000 0.000 6.010 0.000 0.000 0.000 6.010" Properties=species:S:1:pos:R:3 comment="In3Pb, optimized geometry, DFT GGA-PBEsol" m_tot_mub_per_cell=0.000 dos_at_fermi_per_ev_atom=0.38 sg="No. 223" formation_energy_ev_per_atom=0.044 pbc="T T T"
In 0.000 1.502 3.005
In 0.000 4.507 3.005
In 1.502 3.005 0.000
In 3.005 0.000 1.502
In 3.005 0.000 4.507
In 4.507 3.005 0.000
Pb 0.000 0.000 0.000
Pb 3.005 3.005 3.005

---

No. 13
5
Lattice="5.207 0.000 0.000 0.000 5.207 0.000 0.000 0.000 5.207" Properties=species:S:1:pos:R:3 comment="SrSc3As, optimized geometry, DFT GGA-PBEsol" m_tot_mub_per_cell=1.719 dos_at_fermi_per_ev_atom=1.90 sg="No. 221" formation_energy_ev_per_atom=-0.237 pbc="T T T"
Sr 0.000 0.000 0.000
Sc 0.000 2.603 2.603
Sc 2.603 0.000 2.603
Sc 2.603 2.603 0.000
As 2.603 2.603 2.603

---

No. 14
3
Lattice="0.000 3.446 3.446 3.446 0.000 3.446 3.446 3.446 0.000" Properties=species:S:1:pos:R:3 comment="MgZnTe, optimized geometry, DFT GGA-PBEsol" m_tot_mub_per_cell=0.000 raw_formation_energy_mev_per_atom=6 dos_at_fermi_per_ev_atom=0.29 sg="No. 216" pbc="T T T"
Mg 0.000 0.000 0.000
Zn 3.446 3.446 3.446
Te 5.170 5.170 5.170

---

No. 15
4
Lattice="1.511 0.872 7.611 -1.511 0.872 7.611 0.000 -1.745 7.611" Properties=species:S:1:pos:R:3 comment="Ta2BeRe, optimized geometry, DFT GGA-PBEsol" m_tot_mub_per_cell=0.000 dos_at_fermi_per_ev_atom=0.57 sg="No. 166" formation_energy_ev_per_atom=0.211 e_above_lowest_polymorph_ev_per_atom=0.209 pbc="T T T"
Ta 0.000 0.000 5.531
Ta 0.000 0.000 17.303
Be 0.000 0.000 11.417
Re 0.000 0.000 0.000

---

No. 16
4
Lattice="3.107 0.000 0.000 0.000 4.332 0.000 -1.194 0.000 5.010" Properties=species:S:1:pos:R:3 comment="YRe2Si, optimized geometry, DFT GGA-PBEsol" m_tot_mub_per_cell=0.001 raw_formation_energy_mev_per_atom=-25 dos_at_fermi_per_ev_atom=0.99 sg="No. 6" pbc="T T T"
Y 0.000 0.000 0.000
Re 0.618 0.000 2.558
Re 1.854 2.166 1.859
Si 0.355 2.166 3.913

---

No. 17
3
Lattice="-1.781 2.149 5.995 1.781 -2.149 5.995 1.781 2.149 -5.995" Properties=species:S:1:pos:R:3 comment="SrScPb, optimized geometry, DFT GGA-PBEsol" m_tot_mub_per_cell=0.014 dos_at_fermi_per_ev_atom=1.24 sg="No. 44" formation_energy_ev_per_atom=-0.214 pbc="T T T"
Sr 0.000 0.000 0.000
Sc 0.000 0.000 3.420
Pb 0.000 0.000 8.269

---

No. 18
5
Lattice="4.291 0.000 0.000 0.000 4.291 0.000 0.000 0.000 4.291" Properties=species:S:1:pos:R:3 comment="BCSe3, optimized geometry, DFT GGA-PBEsol" m_tot_mub_per_cell=0.000 raw_formation_energy_mev_per_atom=1719 dos_at_fermi_per_ev_atom=0.56 sg="No. 221" pbc="T T T"
B 0.000 0.000 0.000
C 2.146 2.146 2.146
Se 0.000 2.146 2.146
Se 2.146 0.000 2.146
Se 2.146 2.146 0.000

---

No. 19
8
Lattice="4.374 0.000 0.000 -2.187 3.788 0.000 0.000 0.000 10.853" Properties=species:S:1:pos:R:3 comment="TePt, optimized geometry, DFT GGA-PBEsol" m_tot_mub_per_cell=0.000 raw_formation_energy_mev_per_atom=280 dos_at_fermi_per_ev_atom=0.95 sg="No. 194" pbc="T T T"
Te 0.000 2.525 1.014
Te 0.000 2.525 4.413
Te 2.187 1.263 6.440
Te 2.187 1.263 9.839
Pt 0.000 0.000 2.713
Pt 0.000 0.000 8.140
Pt 0.000 2.525 8.140
Pt 2.187 1.263 2.713

---

No. 20
5
Lattice="4.985 0.000 0.000 0.000 4.985 0.000 0.000 0.000 4.985" Properties=species:S:1:pos:R:3 comment="HfSbCl3, optimized geometry, DFT GGA-PBEsol" m_tot_mub_per_cell=2.812 raw_formation_energy_mev_per_atom=-548 dos_at_fermi_per_ev_atom=0.61 sg="No. 221" pbc="T T T"
Hf 0.000 0.000 0.000
Sb 2.493 2.493 2.493
Cl 0.000 0.000 2.493
Cl 0.000 2.493 0.000
Cl 2.493 0.000 0.000

---

No. 21
4
Lattice="1.481 0.855 9.123 -1.481 0.855 9.123 0.000 -1.710 9.123" Properties=species:S:1:pos:R:3 comment="LaRe2P, optimized geometry, DFT GGA-PBEsol" m_tot_mub_per_cell=0.000 dos_at_fermi_per_ev_atom=1.18 sg="No. 160" formation_energy_ev_per_atom=0.207 pbc="T T T"
La 0.000 0.000 0.000
Re 0.000 0.000 6.433
Re 0.000 0.000 13.476
P 0.000 0.000 20.919

---

No. 22
4
Lattice="-1.393 2.135 4.478 1.393 -2.135 4.478 1.393 2.135 -4.478" Properties=species:S:1:pos:R:3 comment="MnIrRu2, optimized geometry, DFT GGA-PBEsol" m_tot_mub_per_cell=2.483 dos_at_fermi_per_ev_atom=1.14 sg="No. 71" formation_energy_ev_per_atom=0.249 pbc="T T T"
Mn 0.000 0.000 0.000
Ir 0.000 0.000 4.478
Ru 1.393 0.000 1.980
Ru 0.000 2.135 2.498

---

No. 23
9
Lattice="-4.095 4.095 1.929 4.095 -4.095 1.929 4.095 4.095 -1.929" Properties=species:S:1:pos:R:3 comment="Re5Tc4, optimized geometry, DFT GGA-PBEsol" m_tot_mub_per_cell=0.000 dos_at_fermi_per_ev_atom=0.89 sg="No. 139" formation_energy_ev_per_atom=0.065 pbc="T T T"
Re 0.000 0.000 0.000
Re 2.725 2.725 0.000
Re 1.370 -1.370 1.929
Re -1.370 1.370 1.929
Re 1.370 1.370 1.929
Tc 2.743 0.000 0.000
Tc 5.447 0.000 0.000
Tc 0.000 2.743 0.000
Tc 0.000 5.447 0.000

---

No. 24
5
Lattice="4.969 0.000 0.000 0.000 4.969 0.000 0.000 0.000 4.163" Properties=species:S:1:pos:R:3 comment="CsCuOs2N, optimized geometry, DFT GGA-PBEsol" m_tot_mub_per_cell=4.087 raw_formation_energy_mev_per_atom=3934 dos_at_fermi_per_ev_atom=0.86 sg="No. 123" pbc="T T T"
Cs 0.000 0.000 0.000
Cu 2.484 2.484 2.081
Os 0.000 2.484 0.000
Os 2.484 0.000 0.000
N 0.000 0.000 2.081

---

No. 25
2
Lattice="1.644 0.949 5.385 -1.644 0.949 5.385 0.000 -1.899 5.385" Properties=species:S:1:pos:R:3 comment="KAs, optimized geometry, DFT GGA-PBEsol" m_tot_mub_per_cell=0.000 dos_at_fermi_per_ev_atom=0.28 sg="No. 166" formation_energy_ev_per_atom=0.077 e_above_lowest_polymorph_ev_per_atom=0.515 pbc="T T T"
K 0.000 0.000 0.000
As 0.000 0.000 8.077

---

No. 26
4
Lattice="2.013 1.162 6.059 -2.013 1.162 6.059 0.000 -2.324 6.059" Properties=species:S:1:pos:R:3 comment="YHS2, optimized geometry, DFT GGA-PBEsol" m_tot_mub_per_cell=0.000 dos_at_fermi_per_ev_atom=0.00 sg="No. 166" e_above_lowest_polymorph_ev_per_atom=0.000 pbc="T T T"
Y 0.000 0.000 0.000
H 0.000 0.000 9.088
S 0.000 0.000 7.466
S 0.000 0.000 10.710